# Cd3NiAg PBE relaxed
# D(E_F) in states/eV/f.u.: 2.54
# ΔH_f (0 K) in kJ/mol of formula units: 154
# M_tot in Bohr magnetons per cell: 0.0
# Energy in eV per atom: -1.956
data_Cd3NiAg
_symmetry_space_group_name_H-M 'P m -3 m'
_symmetry_Int_Tables_number 221
_symmetry_space_group_name_Hall '-P 4 2 3'
_cell_length_a 4.928
_cell_length_b 4.928
_cell_length_c 4.928
_cell_angle_alpha 90.00
_cell_angle_beta 90.00
_cell_angle_gamma 90.00
loop_
_atom_site_label
_atom_site_type_symbol
_atom_site_fract_x
_atom_site_fract_y
_atom_site_fract_z
_atom_site_occupancy
Cd1 Cd 0.000 0.000 0.500 1
Ni1 Ni 0.000 0.000 0.000 1
Ag1 Ag 0.500 0.500 0.500 1

# Ce2ThGa2 PBE relaxed
# D(E_F) in states/eV/f.u.: 8.86
# ΔH_f (0 K) in kJ/mol of formula units: -83
# M_tot in Bohr magnetons per cell: 0.2
# Energy in eV per atom: -5.241
data_Ce2ThGa2
_symmetry_space_group_name_H-M 'P 1 21/m 1'
_symmetry_Int_Tables_number 11
_cell_length_a 5.824
_cell_length_b 3.374
_cell_length_c 13.096
_cell_angle_alpha 90.00
_cell_angle_beta 99.46
_cell_angle_gamma 90.00
loop_
_symmetry_equiv_pos_as_xyz
'x,y,z'
'-x,-y,-z'
'-x,y+1/2,-z'
'x,-y+1/2,z'
loop_
_atom_site_label
_atom_site_type_symbol
_atom_site_fract_x
_atom_site_fract_y
_atom_site_fract_z
_atom_site_occupancy
Ce1 Ce 0.138 0.250 0.086 1
Ce2 Ce 0.229 0.750 0.520 1
Th1 Th 0.388 0.250 0.732 1
Ga1 Ga 0.141 0.250 0.319 1
Ga2 Ga 0.364 0.750 0.931 1

# InNiAs2 PBE relaxed
# D(E_F) in states/eV/f.u.: 1.81
# ΔH_f (0 K) in kJ/mol of formula units: 105
# M_tot in Bohr magnetons per cell: 0.0
# Energy in eV per atom: -4.182
data_InNiAs2
_symmetry_space_group_name_H-M 'C m m m'
_symmetry_Int_Tables_number 65
_symmetry_space_group_name_Hall '-C 2 2'
_cell_length_a 5.464
_cell_length_b 7.333
_cell_length_c 3.701
_cell_angle_alpha 90.00
_cell_angle_beta 90.00
_cell_angle_gamma 90.00
loop_
_atom_site_label
_atom_site_type_symbol
_atom_site_fract_x
_atom_site_fract_y
_atom_site_fract_z
_atom_site_occupancy
In1 In 0.000 0.000 0.000 1
Ni1 Ni 0.000 0.500 0.000 1
As1 As 0.250 0.250 0.500 1

# V2CN2 PBE relaxed
# D(E_F) in states/eV/f.u.: 1.75
# M_tot in Bohr magnetons per cell: 0.0
# Energy in eV per atom: -8.487
# E_form (uncorrected) in eV/atom: 0.3357
data_V2CN2
_symmetry_space_group_name_H-M 'I 4/m m m'
_symmetry_Int_Tables_number 139
_symmetry_space_group_name_Hall '-I 4 2'
_cell_length_a 2.898
_cell_length_b 2.898
_cell_length_c 10.380
_cell_angle_alpha 90.00
_cell_angle_beta 90.00
_cell_angle_gamma 90.00
loop_
_atom_site_label
_atom_site_type_symbol
_atom_site_fract_x
_atom_site_fract_y
_atom_site_fract_z
_atom_site_occupancy
V1 V 0.000 0.000 0.118 1
C1 C 0.000 0.000 0.500 1
N1 N 0.000 0.500 0.250 1

# V5Co8Ni PBE relaxed
# D(E_F) in states/eV/f.u.: 13.68
# ΔH_f (0 K) in kJ/mol of formula units: 181
# M_tot in Bohr magnetons per cell: 0.0
# Energy in eV per atom: -7.596
data_V5Co8Ni
_symmetry_space_group_name_H-M 'I -4'
_symmetry_Int_Tables_number 82
_cell_length_a 6.762
_cell_length_b 6.762
_cell_length_c 7.333
_cell_angle_alpha 90.00
_cell_angle_beta 90.00
_cell_angle_gamma 90.00
loop_
_symmetry_equiv_pos_as_xyz
'x,y,z'
'y,-x,-z'
'-x,-y,z'
'-y,x,-z'
'x+1/2,y+1/2,z+1/2'
'y+1/2,-x+1/2,-z+1/2'
'-x+1/2,-y+1/2,z+1/2'
'-y+1/2,x+1/2,-z+1/2'
loop_
_atom_site_label
_atom_site_type_symbol
_atom_site_fract_x
_atom_site_fract_y
_atom_site_fract_z
_atom_site_occupancy
V1 V 0.000 0.000 0.000 1
V2 V 0.133 0.765 0.435 1
Co1 Co 0.074 0.834 0.743 1
Co2 Co 0.079 0.676 0.119 1
Ni1 Ni 0.000 0.500 0.750 1

# HfSiPd4 PBE relaxed
# D(E_F) in states/eV/f.u.: 2.50
# M_tot in Bohr magnetons per cell: 0.0
# Energy in eV per atom: -6.551
# E_form (uncorrected) in eV/atom: -0.5263
data_HfSiPd4
_symmetry_space_group_name_H-M 'C m c 21'
_symmetry_Int_Tables_number 36
_cell_length_a 4.584
_cell_length_b 16.888
_cell_length_c 5.484
_cell_angle_alpha 90.00
_cell_angle_beta 90.00
_cell_angle_gamma 90.00
loop_
_symmetry_equiv_pos_as_xyz
'x,y,z'
'-x,-y,z+1/2'
'-x,y,z'
'x,-y,z+1/2'
'x+1/2,y+1/2,z'
'-x+1/2,-y+1/2,z+1/2'
'-x+1/2,y+1/2,z'
'x+1/2,-y+1/2,z+1/2'
loop_
_atom_site_label
_atom_site_type_symbol
_atom_site_fract_x
_atom_site_fract_y
_atom_site_fract_z
_atom_site_occupancy
Hf1 Hf 0.000 0.148 0.000 1
Si1 Si 0.000 0.413 0.975 1
Pd1 Pd 0.000 0.137 0.498 1
Pd2 Pd 0.000 0.292 0.745 1
Pd3 Pd 0.000 0.301 0.249 1
Pd4 Pd 0.000 0.450 0.529 1